Run 1
# Be2AsH (PBE, relaxed)
data_Be2AsH
_space_group_name_H-M_alt 'R -3 m'
_space_group_IT_number 166
_space_group_name_Hall '-R 3 2"'
_cell_length_a 3.6411
_cell_length_b 3.6411
_cell_length_c 13.9766
_cell_angle_alpha 90.00
_cell_angle_beta 90.00
_cell_angle_gamma 120.00
loop_
_atom_site_label
_atom_site_type_symbol
_atom_site_fract_x
_atom_site_fract_y
_atom_site_fract_z
Be1 Be 0.0000 0.0000 0.1015
As1 As 0.0000 0.0000 0.5000
H1 H 0.0000 0.0000 0.0000
# Total magnetic moment = 0.0 μB per formula unit

=====

Run 2
# Be2AsH (PBE, relaxed)
data_Be2AsH
_space_group_name_H-M_alt 'I -4 2 d'
_space_group_IT_number 122
_space_group_name_Hall 'I -4 2bw'
_cell_length_a 4.115
_cell_length_b 4.115
_cell_length_c 10.043
_cell_angle_alpha 90.00
_cell_angle_beta 90.00
_cell_angle_gamma 90.00
loop_
_atom_site_label
_atom_site_type_symbol
_atom_site_fract_x
_atom_site_fract_y
_atom_site_fract_z
Be1 Be 0.118 0.250 0.125
As1 As 0.000 0.000 0.500
H1 H 0.000 0.000 0.000
# Total magnetic moment = 0.0 μB per formula unit

=====

Run 3
# Be2AsH (PBE, relaxed)
data_Be2AsH
_space_group_name_H-M_alt 'P n m a'
_space_group_IT_number 62
_cell_length_a 7.128
_cell_length_b 4.544
_cell_length_c 5.957
_cell_angle_alpha 90.00
_cell_angle_beta 90.00
_cell_angle_gamma 90.00
loop_
_space_group_symop_operation_xyz
'x,y,z'
'-x,-y,-z'
'-x+1/2,-y,z+1/2'
'x+1/2,y,-z+1/2'
'x+1/2,-y+1/2,-z+1/2'
'-x+1/2,y+1/2,z+1/2'
'-x,y+1/2,-z'
'x,-y+1/2,z'
loop_
_atom_site_label
_atom_site_type_symbol
_atom_site_fract_x
_atom_site_fract_y
_atom_site_fract_z
Be1 Be 0.103 0.012 0.212
As1 As 0.161 0.250 0.879
H1 H 0.050 0.250 0.363
# Total magnetic moment = 0.0 μB per formula unit

=====

Run 4
# Be2AsH (PBE, relaxed)
data_Be2AsH
_space_group_name_H-M_alt 'F m -3 m'
_space_group_IT_number 225
_space_group_name_Hall '-F 4 2 3'
_cell_length_a 5.485
_cell_length_b 5.485
_cell_length_c 5.485
_cell_angle_alpha 90.00
_cell_angle_beta 90.00
_cell_angle_gamma 90.00
loop_
_atom_site_label
_atom_site_type_symbol
_atom_site_fract_x
_atom_site_fract_y
_atom_site_fract_z
Be1 Be 0.250 0.250 0.250
As1 As 0.000 0.000 0.000
H1 H 0.000 0.000 0.500
# Total magnetic moment = 0.0 μB per formula unit

=====

Which of them is the least stable? Correct choice: run 4.

=====

Run 1
# BeAsH2 (PBE, relaxed)
data_BeAsH2
_space_group_name_H-M_alt 'P -1'
_space_group_IT_number 2
_cell_length_a 3.879
_cell_length_b 3.880
_cell_length_c 8.249
_cell_angle_alpha 102.04
_cell_angle_beta 102.76
_cell_angle_gamma 94.36
loop_
_space_group_symop_operation_xyz
'x,y,z'
'-x,-y,-z'
loop_
_atom_site_label
_atom_site_type_symbol
_atom_site_fract_x
_atom_site_fract_y
_atom_site_fract_z
Be1 Be 0.206 0.294 0.000
As1 As 0.382 0.878 0.147
H1 H 0.029 0.531 0.548
H2 H 0.396 0.888 0.334
# Total magnetic moment = 0.0 μB per formula unit

=====

Run 2
# BeAsH2 (PBE, relaxed)
data_BeAsH2
_space_group_name_H-M_alt 'I 41/a m d'
_space_group_IT_number 141
_cell_length_a 4.759
_cell_length_b 4.759
_cell_length_c 6.747
_cell_angle_alpha 90.00
_cell_angle_beta 90.00
_cell_angle_gamma 90.00
loop_
_space_group_symop_operation_xyz
'x,y,z'
'-x,-y,-z'
'-y+1/4,x+3/4,z+1/4'
'y+1/4,-x+3/4,-z+1/4'
'-x+1/2,-y,z+1/2'
'x+1/2,y,-z+1/2'
'y+1/4,-x+1/4,z+3/4'
'-y+1/4,x+1/4,-z+3/4'
'x,-y,-z'
'-x,y,z'
'-y+1/4,-x+1/4,-z+3/4'
'y+1/4,x+1/4,z+3/4'
'-x+1/2,y,-z+1/2'
'x+1/2,-y,z+1/2'
'y+1/4,x+3/4,-z+1/4'
'-y+1/4,-x+3/4,z+1/4'
'x+1/2,y+1/2,z+1/2'
'-x+1/2,-y+1/2,-z+1/2'
'-y+3/4,x+1/4,z+3/4'
'y+3/4,-x+1/4,-z+3/4'
'-x,-y+1/2,z'
'x,y+1/2,-z'
'y+3/4,-x+3/4,z+1/4'
'-y+3/4,x+3/4,-z+1/4'
'x+1/2,-y+1/2,-z+1/2'
'-x+1/2,y+1/2,z+1/2'
'-y+3/4,-x+3/4,-z+1/4'
'y+3/4,x+3/4,z+1/4'
'-x,y+1/2,-z'
'x,-y+1/2,z'
'y+3/4,x+1/4,-z+3/4'
'-y+3/4,-x+1/4,z+3/4'
loop_
_atom_site_label
_atom_site_type_symbol
_atom_site_fract_x
_atom_site_fract_y
_atom_site_fract_z
Be1 Be 0.000 0.250 0.375
As1 As 0.000 0.250 0.875
H1 H 0.000 0.000 0.500
# Total magnetic moment = 0.0 μB per formula unit

=====

Which of them is the least stable? Correct choice: run 2.

=====

Run 1
# BeAsHSe2 (PBE, relaxed)
data_BeAsHSe2
_space_group_name_H-M_alt 'P 4/m m m'
_space_group_IT_number 123
_space_group_name_Hall '-P 4 2'
_cell_length_a 4.798
_cell_length_b 4.798
_cell_length_c 3.434
_cell_angle_alpha 90.00
_cell_angle_beta 90.00
_cell_angle_gamma 90.00
loop_
_atom_site_label
_atom_site_type_symbol
_atom_site_fract_x
_atom_site_fract_y
_atom_site_fract_z
Be1 Be 0.000 0.000 0.000
As1 As 0.500 0.500 0.000
H1 H 0.500 0.500 0.500
Se1 Se 0.000 0.500 0.500
# Total magnetic moment = 0.0 μB per formula unit

=====

Run 2
# BeAsHSe2 (PBE, relaxed)
data_BeAsHSe2
_space_group_name_H-M_alt 'P 4/m m m'
_space_group_IT_number 123
_space_group_name_Hall '-P 4 2'
_cell_length_a 4.653
_cell_length_b 4.653
_cell_length_c 4.400
_cell_angle_alpha 90.00
_cell_angle_beta 90.00
_cell_angle_gamma 90.00
loop_
_atom_site_label
_atom_site_type_symbol
_atom_site_fract_x
_atom_site_fract_y
_atom_site_fract_z
Be1 Be 0.000 0.000 0.000
As1 As 0.000 0.000 0.500
H1 H 0.500 0.500 0.500
Se1 Se 0.000 0.500 0.000
# Total magnetic moment = 1.1 μB per formula unit

=====

Which of them is the least stable? Correct choice: run 2.

=====

Run 1
# BeAs2HSe (PBE, relaxed)
data_BeAs2HSe
_space_group_name_H-M_alt 'P 4/m m m'
_space_group_IT_number 123
_space_group_name_Hall '-P 4 2'
_cell_length_a 3.676
_cell_length_b 3.676
_cell_length_c 6.847
_cell_angle_alpha 90.00
_cell_angle_beta 90.00
_cell_angle_gamma 90.00
loop_
_atom_site_label
_atom_site_type_symbol
_atom_site_fract_x
_atom_site_fract_y
_atom_site_fract_z
Be1 Be 0.000 0.000 0.000
As1 As 0.000 0.500 0.500
H1 H 0.500 0.500 0.500
Se1 Se 0.500 0.500 0.000
# Total magnetic moment = 0.0 μB per formula unit

=====

Run 2
# BeAs2HSe (PBE, relaxed)
data_BeAs2HSe
_space_group_name_H-M_alt 'P 4/m m m'
_space_group_IT_number 123
_space_group_name_Hall '-P 4 2'
_cell_length_a 4.465
_cell_length_b 4.465
_cell_length_c 4.595
_cell_angle_alpha 90.00
_cell_angle_beta 90.00
_cell_angle_gamma 90.00
loop_
_atom_site_label
_atom_site_type_symbol
_atom_site_fract_x
_atom_site_fract_y
_atom_site_fract_z
Be1 Be 0.000 0.000 0.000
As1 As 0.000 0.500 0.000
H1 H 0.500 0.500 0.500
Se1 Se 0.000 0.000 0.500
# Total magnetic moment = 0.7 μB per formula unit

=====

Which of them is the least stable? Correct choice: run 2.

=====

Run 1
# HfBeAs3 (PBE, relaxed)
data_HfBeAs3
_space_group_name_H-M_alt 'P m -3 m'
_space_group_IT_number 221
_space_group_name_Hall '-P 4 2 3'
_cell_length_a 5.116
_cell_length_b 5.116
_cell_length_c 5.116
_cell_angle_alpha 90.00
_cell_angle_beta 90.00
_cell_angle_gamma 90.00
loop_
_atom_site_label
_atom_site_type_symbol
_atom_site_fract_x
_atom_site_fract_y
_atom_site_fract_z
Hf1 Hf 0.000 0.000 0.000
Be1 Be 0.500 0.500 0.500
As1 As 0.000 0.000 0.500
# Total magnetic moment = 0.0 μB per formula unit

=====

Run 2
# HfBeAs3 (PBE, relaxed)
data_HfBeAs3
_space_group_name_H-M_alt 'P m -3 m'
_space_group_IT_number 221
_space_group_name_Hall '-P 4 2 3'
_cell_length_a 4.497
_cell_length_b 4.497
_cell_length_c 4.497
_cell_angle_alpha 90.00
_cell_angle_beta 90.00
_cell_angle_gamma 90.00
loop_
_atom_site_label
_atom_site_type_symbol
_atom_site_fract_x
_atom_site_fract_y
_atom_site_fract_z
Hf1 Hf 0.000 0.000 0.000
Be1 Be 0.500 0.500 0.500
As1 As 0.000 0.500 0.500
# Total magnetic moment = 0.0 μB per formula unit

=====

Which of them is the least stable? Correct choice: run 1.

=====

Run 1
# HfBeAs2Se (PBE, relaxed)
data_HfBeAs2Se
_space_group_name_H-M_alt 'P 4/m m m'
_space_group_IT_number 123
_space_group_name_Hall '-P 4 2'
_cell_length_a 5.174
_cell_length_b 5.174
_cell_length_c 5.081
_cell_angle_alpha 90.00
_cell_angle_beta 90.00
_cell_angle_gamma 90.00
loop_
_atom_site_label
_atom_site_type_symbol
_atom_site_fract_x
_atom_site_fract_y
_atom_site_fract_z
Hf1 Hf 0.000 0.000 0.000
Be1 Be 0.500 0.500 0.500
As1 As 0.000 0.500 0.000
Se1 Se 0.000 0.000 0.500
# Total magnetic moment = 0.0 μB per formula unit

=====

Run 2
# HfBeAs2Se (PBE, relaxed)
data_HfBeAs2Se
_space_group_name_H-M_alt 'P 4/m m m'
_space_group_IT_number 123
_space_group_name_Hall '-P 4 2'
_cell_length_a 4.282
_cell_length_b 4.282
_cell_length_c 5.114
_cell_angle_alpha 90.00
_cell_angle_beta 90.00
_cell_angle_gamma 90.00
loop_
_atom_site_label
_atom_site_type_symbol
_atom_site_fract_x
_atom_site_fract_y
_atom_site_fract_z
Hf1 Hf 0.000 0.000 0.000
Be1 Be 0.500 0.500 0.500
As1 As 0.000 0.500 0.500
Se1 Se 0.500 0.500 0.000
# Total magnetic moment = 0.0 μB per formula unit

=====

Which of them is the least stable? Correct choice: run 1.

=====

Run 1
# BeHg3As (PBE, relaxed)
data_BeHg3As
_space_group_name_H-M_alt 'P m -3 m'
_space_group_IT_number 221
_space_group_name_Hall '-P 4 2 3'
_cell_length_a 4.826
_cell_length_b 4.826
_cell_length_c 4.826
_cell_angle_alpha 90.00
_cell_angle_beta 90.00
_cell_angle_gamma 90.00
loop_
_atom_site_label
_atom_site_type_symbol
_atom_site_fract_x
_atom_site_fract_y
_atom_site_fract_z
Be1 Be 0.000 0.000 0.000
Hg1 Hg 0.000 0.000 0.500
As1 As 0.500 0.500 0.500
# Total magnetic moment = 0.0 μB per formula unit

=====

Run 2
# BeHg3As (PBE, relaxed)
data_BeHg3As
_space_group_name_H-M_alt 'P m -3 m'
_space_group_IT_number 221
_space_group_name_Hall '-P 4 2 3'
_cell_length_a 5.389
_cell_length_b 5.389
_cell_length_c 5.389
_cell_angle_alpha 90.00
_cell_angle_beta 90.00
_cell_angle_gamma 90.00
loop_
_atom_site_label
_atom_site_type_symbol
_atom_site_fract_x
_atom_site_fract_y
_atom_site_fract_z
Be1 Be 0.000 0.000 0.000
Hg1 Hg 0.000 0.500 0.500
As1 As 0.500 0.500 0.500
# Total magnetic moment = 0.0 μB per formula unit

=====

Which of them is the least stable? Correct choice: run 2.

=====

Run 1
# Be2AsI (PBE, relaxed)
data_Be2AsI
_space_group_name_H-M_alt 'F m -3 m'
_space_group_IT_number 225
_space_group_name_Hall '-F 4 2 3'
_cell_length_a 6.501
_cell_length_b 6.501
_cell_length_c 6.501
_cell_angle_alpha 90.00
_cell_angle_beta 90.00
_cell_angle_gamma 90.00
loop_
_atom_site_label
_atom_site_type_symbol
_atom_site_fract_x
_atom_site_fract_y
_atom_site_fract_z
Be1 Be 0.250 0.250 0.250
As1 As 0.000 0.000 0.000
I1 I 0.000 0.000 0.500
# Total magnetic moment = 0.0 μB per formula unit

=====

Run 2
# Be2AsI (PBE, relaxed)
data_Be2AsI
_space_group_name_H-M_alt 'R -3 m'
_space_group_IT_number 166
_space_group_name_Hall '-R 3 2"'
_cell_length_a 3.7625
_cell_length_b 3.7625
_cell_length_c 19.6794
_cell_angle_alpha 90.00
_cell_angle_beta 90.00
_cell_angle_gamma 120.00
loop_
_atom_site_label
_atom_site_type_symbol
_atom_site_fract_x
_atom_site_fract_y
_atom_site_fract_z
Be1 Be 0.0000 0.0000 0.1212
As1 As 0.0000 0.0000 0.5000
I1 I 0.0000 0.0000 0.0000
# Total magnetic moment = 0.0 μB per formula unit

=====

Which of them is the least stable? Correct choice: run 1.